Model i:
VASP calculation (GGA-PBE) on a relaxed structure of CdTcP2C.

Cell and atoms, written as extended XYZ:
```
5
Lattice="4.810 0.000 0.000 0.000 5.348 0.000 0.000 0.000 4.810" Properties=species:S:1:pos:R:3 pbc="T T T"
P 0.000 0.000 2.405
P 2.405 0.000 0.000
C 2.405 2.674 2.405
Tc 0.000 2.674 0.000
Cd 0.000 0.000 0.000
```

Computed properties:
N(E_F)   0.722 states/eV/atom
SG   P4/mmm
Calculated density   3.82 g/cm³

Model ii:
VASP calculation (GGA-PBE) on a relaxed structure of CdTcP2C.

Cell and atoms, written as extended XYZ:
```
5
Lattice="-3.694 -1.118 -2.262 3.048 -1.569 -4.202 0.212 -4.133 1.697" Properties=species:S:1:pos:R:3 pbc="T T T"
P 0.106 -2.067 0.848
P -1.847 -0.559 -1.131
C -0.217 -3.410 -2.384
Tc 0.000 0.000 0.000
Cd 1.524 -0.784 -2.101
```

Computed properties:
N(E_F)   0.592 states/eV/atom
SG   P4/mmm
Calculated density   4.35 g/cm³

The most stable arrangement is model ii, and the next structure is 1408 meV per atom less stable.

Model i:
VASP calculation (GGA-PBE) on a relaxed structure of Cd2PbC.

Cell and atoms, written as extended XYZ:
```
4
Lattice="-1.198 -1.932 4.387 -4.637 0.352 1.671 -2.856 -4.026 0.229" Properties=species:S:1:pos:R:3 pbc="T T T"
Pb -4.345 -2.803 3.144
C 0.000 0.000 0.000
Cd -2.173 -1.402 1.572
Cd -6.518 -4.205 4.716
```

Computed properties:
N(E_F)   0.144 states/eV/atom
SG   Fm-3m
Calculated density   8.64 g/cm³

Model ii:
VASP calculation (GGA-PBE) on a relaxed structure of Cd2PbC.

Cell and atoms, written as extended XYZ:
```
8
Lattice="6.638 0.000 0.000 0.000 6.638 0.000 3.319 3.319 4.657" Properties=species:S:1:pos:R:3 pbc="T T T"
Pb 0.000 0.000 0.000
Pb 6.638 3.319 2.328
C 3.319 3.319 0.000
C 3.319 6.638 2.328
Cd 4.023 1.660 1.164
Cd 2.615 4.979 1.164
Cd 4.979 5.934 3.492
Cd 8.298 7.342 3.492
```

Computed properties:
N(E_F)   0.305 states/eV/atom
SG   I-42d
Calculated density   7.19 g/cm³

The most stable arrangement is model ii, and the next structure is 436 meV per atom less stable.

Model i:
VASP calculation (GGA-PBE) on a relaxed structure of Cd3PbC.

Cell and atoms, written as extended XYZ:
```
5
Lattice="5.779 0.000 0.000 0.000 5.779 0.000 0.000 0.000 5.779" Properties=species:S:1:pos:R:3 pbc="T T T"
Pb 0.000 0.000 0.000
C 2.890 2.890 2.890
Cd 0.000 2.890 0.000
Cd 0.000 0.000 2.890
Cd 2.890 0.000 0.000
```

Computed properties:
N(E_F)   0.392 states/eV/atom
SG   Pm-3m
Calculated density   4.79 g/cm³

Model ii:
VASP calculation (GGA-PBE) on a relaxed structure of Cd3PbC.

Cell and atoms, written as extended XYZ:
```
5
Lattice="-3.454 0.069 3.304 -2.965 -2.175 -3.054 1.459 -4.256 1.614" Properties=species:S:1:pos:R:3 pbc="T T T"
Pb -2.480 -3.181 0.932
C 0.000 0.000 0.000
Cd -1.483 -1.087 -1.527
Cd 0.729 -2.128 0.807
Cd -1.727 0.035 1.652
```

Computed properties:
N(E_F)   0.717 states/eV/atom
SG   Pm-3m
Calculated density   8.46 g/cm³

The most stable arrangement is model ii, and the next structure is 880 meV per atom less stable.

Model i:
VASP calculation (GGA-PBE) on a relaxed structure of Pm3CdC.

Cell and atoms, written as extended XYZ:
```
20
Lattice="6.534 0.000 0.000 0.000 8.660 -2.916 0.000 -0.036 9.138" Properties=species:S:1:pos:R:3 pbc="T T T"
Pm 1.633 3.073 4.828
Pm 1.634 7.421 -1.199
Pm 3.265 2.155 1.558
Pm 6.532 2.158 1.553
Pm 3.269 6.470 4.664
Pm 4.901 5.552 1.393
Pm 4.903 0.368 4.035
Pm 1.631 8.257 2.186
Pm 4.900 1.204 7.420
Pm 0.002 6.467 4.669
Pm 4.898 4.680 7.146
Pm 1.636 3.944 -0.924
Cd 1.634 5.053 2.083
Cd 4.900 3.571 4.139
Cd 1.633 0.706 8.110
Cd 4.901 7.919 -1.888
C 4.895 3.314 -0.048
C 1.628 0.998 3.159
C 1.639 5.311 6.270
C 4.906 7.626 3.063
```

Computed properties:
N(E_F)   0.624 states/eV/atom
SG   Cmce
Calculated density   7.20 g/cm³

Model ii:
VASP calculation (GGA-PBE) on a relaxed structure of Pm3CdC.

Cell and atoms, written as extended XYZ:
```
5
Lattice="-0.820 -4.650 -1.895 3.710 -1.855 2.947 -3.384 -0.907 3.690" Properties=species:S:1:pos:R:3 pbc="T T T"
C 0.000 0.000 0.000
Cd -0.247 -3.706 2.371
Pm 1.855 -0.928 1.473
Pm -1.692 -0.453 1.845
Pm -0.410 -2.325 -0.948
```

Computed properties:
N(E_F)   1.188 states/eV/atom
SG   Pm-3m
Calculated density   7.05 g/cm³

The most stable arrangement is model ii, and the next structure is 118 meV per atom less stable.

Model i:
VASP calculation (GGA-PBE) on a relaxed structure of Pm2CdC.

Cell and atoms, written as extended XYZ:
```
4
Lattice="-1.074 -2.912 1.942 0.562 -3.378 -1.296 7.450 -2.307 4.096" Properties=species:S:1:pos:R:3 pbc="T T T"
Pm 5.846 -6.462 3.884
Pm 1.092 -2.134 0.859
Cd 3.469 -4.298 2.371
C 0.000 0.000 0.000
```

Computed properties:
N(E_F)   1.091 states/eV/atom
SG   R-3m
Calculated density   6.93 g/cm³

Model ii:
VASP calculation (GGA-PBE) on a relaxed structure of Pm2CdC.

Cell and atoms, written as extended XYZ:
```
8
Lattice="4.894 0.000 1.880 1.731 6.107 2.803 0.145 -0.252 6.933" Properties=species:S:1:pos:R:3 pbc="T T T"
Pm 3.653 5.015 5.109
Pm 3.200 1.175 6.288
Pm 5.344 3.502 8.017
Pm 2.239 4.779 8.791
Cd 4.415 1.231 3.126
Cd 1.519 2.104 3.357
C 2.974 3.546 6.877
C 4.674 4.995 9.762
```

Computed properties:
N(E_F)   0.584 states/eV/atom
SG   Ima2
Calculated density   6.61 g/cm³

Model iii:
VASP calculation (GGA-PBE) on a relaxed structure of Pm2CdC.

Cell and atoms, written as extended XYZ:
```
4
Lattice="3.651 0.000 0.000 1.825 3.162 0.000 1.825 1.054 8.544" Properties=species:S:1:pos:R:3 pbc="T T T"
Pm 1.825 1.054 7.132
Pm 1.825 1.054 1.423
Cd 3.651 2.108 4.252
C 3.651 2.108 0.008
```

Computed properties:
N(E_F)   0.738 states/eV/atom
SG   R3m
Calculated density   6.98 g/cm³

The most stable arrangement is model iii, and the next structure is 14 meV per atom less stable.

Model i:
VASP calculation (GGA-PBE) on a relaxed structure of PmCdC.

Cell and atoms, written as extended XYZ:
```
6
Lattice="-3.736 -0.050 -0.199 2.060 -2.516 -2.857 -0.373 -5.051 8.255" Properties=species:S:1:pos:R:3 pbc="T T T"
Pm -0.282 -4.739 6.479
Pm -1.767 -2.878 -1.280
Cd -0.031 -3.682 1.511
Cd -2.018 -3.935 3.688
C -1.847 -0.651 -0.341
C -0.202 -6.967 5.539
```

Computed properties:
N(E_F)   0.431 states/eV/atom
SG   C2/m
Calculated density   6.65 g/cm³

Model ii:
VASP calculation (GGA-PBE) on a relaxed structure of PmCdC.

Cell and atoms, written as extended XYZ:
```
6
Lattice="-3.507 -0.334 -1.315 -0.517 0.344 -3.941 0.248 -10.457 1.611" Properties=species:S:1:pos:R:3 pbc="T T T"
Cd -1.156 -3.316 -0.848
Cd -0.600 -1.064 -2.619
Pm -2.148 -5.725 -3.031
Pm -2.018 -9.108 -2.554
C -2.769 -7.164 -1.132
C -3.020 -8.162 -0.265
```

Computed properties:
N(E_F)   0.496 states/eV/atom
SG   P1
Calculated density   6.60 g/cm³

The most stable arrangement is model i, and the next structure is 125 meV per atom less stable.